(1)
Computed, not measured: a relaxed structure of PrDy2AlPd4 at the PBE level of DFT.

## Properties
Density of states at the Fermi level ... 5.90 states/eV per cell
Symmetry ... R-3m, No. 166
Energy of formation from the pure elements ... -0.8054 eV/atom
M_tot ... 0.00 μB/cell

Cell: 8.764 8.764 8.764 Å, 31.86 31.86 31.86°
Atoms (fractional coordinates):
Pr (0.000, 0.000, 0.000)
Dy (0.242, 0.242, 0.242)
Dy (0.758, 0.758, 0.758)
Al (0.500, 0.500, 0.500)
Pd (0.130, 0.130, 0.130)
Pd (0.395, 0.395, 0.395)
Pd (0.605, 0.605, 0.605)
Pd (0.870, 0.870, 0.870)

---

(2)
Computed, not measured: a relaxed structure of DyAl2Pd2Pt at the PBE level of DFT.

## Properties
Density of states at the Fermi level ... 2.55 states/eV per cell
Symmetry ... P4/mmm, No. 123
Energy of formation from the pure elements ... -0.6471 eV/atom
M_tot ... 0.00 μB/cell

Cell: 4.668 4.668 5.538 Å, 90.00 90.00 90.00°
Atoms (fractional coordinates):
Dy (0.000, 0.000, 0.000)
Al (0.000, 0.500, 0.500)
Al (0.500, 0.000, 0.500)
Pd (0.500, 0.500, 0.244)
Pd (0.500, 0.500, 0.756)
Pt (0.000, 0.000, 0.500)

---

(3)
Computed, not measured: a relaxed structure of Dy2Al3PdPt4 at the PBE level of DFT.

## Properties
Density of states at the Fermi level ... 5.29 states/eV per cell
Symmetry ... P-4m2, No. 115
Energy of formation from the pure elements ... -1.0515 eV/atom
M_tot ... 0.00 μB/cell

Cell: 4.033 4.033 11.410 Å, 90.00 90.00 90.00°
Atoms (fractional coordinates):
Dy (0.000, 0.500, 0.240)
Dy (0.500, 0.000, 0.760)
Al (0.000, 0.000, 0.000)
Al (0.000, 0.500, 0.628)
Al (0.500, 0.000, 0.372)
Pd (0.500, 0.500, 0.000)
Pt (0.000, 0.000, 0.500)
Pt (0.000, 0.500, 0.840)
Pt (0.500, 0.000, 0.160)
Pt (0.500, 0.500, 0.500)

---

(4)
Computed, not measured: a relaxed structure of DyAlPdPt at the PBE level of DFT.

## Properties
Density of states at the Fermi level ... 2.98 states/eV per cell
Symmetry ... F-43m, No. 216
Energy of formation from the pure elements ... -0.9550 eV/atom
M_tot ... 0.00 μB/cell

Cell: 4.679 4.679 4.679 Å, 60.00 60.00 60.00°
Atoms (fractional coordinates):
Dy (0.000, 0.000, 0.000)
Al (0.500, 0.500, 0.500)
Pd (0.750, 0.750, 0.750)
Pt (0.250, 0.250, 0.250)

---

(5)
Computed, not measured: a relaxed structure of DyAl4Pd2Pt at the PBE level of DFT.

## Properties
Density of states at the Fermi level ... 3.81 states/eV per cell
Symmetry ... R-3m, No. 166
Energy of formation from the pure elements ... -0.7956 eV/atom
M_tot ... 0.00 μB/cell

Cell: 9.105 9.105 9.105 Å, 27.23 27.23 27.23°
Atoms (fractional coordinates):
Dy (0.000, 0.000, 0.000)
Al (0.133, 0.133, 0.133)
Al (0.402, 0.402, 0.402)
Al (0.598, 0.598, 0.598)
Al (0.867, 0.867, 0.867)
Pd (0.243, 0.243, 0.243)
Pd (0.757, 0.757, 0.757)
Pt (0.500, 0.500, 0.500)

---

(6)
Computed, not measured: a relaxed structure of Dy2Al4Pd3Pt at the PBE level of DFT.

## Properties
Density of states at the Fermi level ... 8.08 states/eV per cell
Symmetry ... P-4m2, No. 115
Energy of formation from the pure elements ... -0.9142 eV/atom
M_tot ... 0.00 μB/cell

Cell: 4.277 4.277 10.193 Å, 90.00 90.00 90.00°
Atoms (fractional coordinates):
Dy (0.000, 0.500, 0.247)
Dy (0.500, 0.000, 0.753)
Al (0.000, 0.000, 0.500)
Al (0.000, 0.500, 0.873)
Al (0.500, 0.000, 0.127)
Al (0.500, 0.500, 0.500)
Pd (0.000, 0.000, 0.000)
Pd (0.000, 0.500, 0.633)
Pd (0.500, 0.000, 0.367)
Pt (0.500, 0.500, 0.000)

---

(7)
Computed, not measured: a relaxed structure of DyAl4PdPt2 at the PBE level of DFT.

## Properties
Density of states at the Fermi level ... 4.16 states/eV per cell
Symmetry ... R-3m, No. 166
Energy of formation from the pure elements ... -0.8780 eV/atom
M_tot ... 0.00 μB/cell

Cell: 9.048 9.048 9.048 Å, 27.36 27.36 27.36°
Atoms (fractional coordinates):
Dy (0.000, 0.000, 0.000)
Al (0.133, 0.133, 0.133)
Al (0.402, 0.402, 0.402)
Al (0.598, 0.598, 0.598)
Al (0.867, 0.867, 0.867)
Pd (0.500, 0.500, 0.500)
Pt (0.241, 0.241, 0.241)
Pt (0.759, 0.759, 0.759)

---

(8)
Computed, not measured: a relaxed structure of Dy2Al4PdPt3 at the PBE level of DFT.

## Properties
Density of states at the Fermi level ... 5.06 states/eV per cell
Symmetry ... P-4m2, No. 115
Energy of formation from the pure elements ... -1.0796 eV/atom
M_tot ... 0.00 μB/cell

Cell: 4.126 4.126 10.854 Å, 90.00 90.00 90.00°
Atoms (fractional coordinates):
Dy (0.000, 0.500, 0.244)
Dy (0.500, 0.000, 0.756)
Al (0.000, 0.000, 0.000)
Al (0.000, 0.500, 0.632)
Al (0.500, 0.000, 0.368)
Al (0.500, 0.500, 0.000)
Pd (0.000, 0.000, 0.500)
Pt (0.000, 0.500, 0.861)
Pt (0.500, 0.000, 0.139)
Pt (0.500, 0.500, 0.500)